This record from Alexandria describes a geometry-optimized ThN4 structure. The functional is PBE. Values from VASP.

```
&SYSTEM
  ibrav = 0, nat = 5, ntyp = 2
/
ATOMIC_SPECIES
Th 232.04 Th.upf
N 14.01 N.upf
ATOMIC_POSITIONS angstrom
Th 0.0000 0.0000 0.0000
N 0.0000 0.0000 2.3567
N 0.0000 2.3567 0.0000
N 2.3567 0.0000 0.0000
N 2.3567 2.3567 2.3567
CELL_PARAMETERS angstrom
4.7133 0.0000 0.0000
0.0000 4.7133 0.0000
0.0000 0.0000 4.7133
```

Computed properties:
Space group   No. 221
V   105 Å³ per cell
DOS at the Fermi energy   3.2 states/eV per cell
Energy   -6.0589 eV/atom

---

This record from Alexandria describes a geometry-optimized Th2N3 structure. The functional is PBE. Values from VASP.

```
&SYSTEM
  ibrav = 0, nat = 10, ntyp = 2
/
ATOMIC_SPECIES
Th 232.04 Th.upf
N 14.01 N.upf
ATOMIC_POSITIONS angstrom
Th 0.0000 0.0000 2.0817
Th 0.0000 0.0000 5.6005
Th 0.0000 0.0000 9.7639
Th 0.0000 0.0000 13.2827
N -2.2391 -0.2795 6.4018
N -0.8775 -2.0789 8.9626
N 1.3616 -1.7994 6.4018
N -1.3616 1.7994 8.9626
N 0.8775 2.0789 6.4018
N 2.2391 0.2795 8.9626
CELL_PARAMETERS angstrom
3.1166 1.7994 5.1215
-3.1166 1.7994 5.1215
0.0000 -3.5988 5.1215
```

Computed properties:
Space group   No. 167
V   172 Å³ per cell
DOS at the Fermi energy   7.2 states/eV per cell
Energy   -9.2500 eV/atom

---

This record from Alexandria describes a geometry-optimized ThTi4N6 structure. The functional is PBE. Values from VASP.

```
&SYSTEM
  ibrav = 0, nat = 22, ntyp = 3
/
ATOMIC_SPECIES
Th 232.04 Th.upf
Ti 47.87 Ti.upf
N 14.01 N.upf
ATOMIC_POSITIONS angstrom
Th 1.5544 3.4334 11.6088
Th 1.5544 -3.4334 3.8696
Ti 1.5544 4.0017 1.9553
Ti 1.5544 4.0017 5.7840
Ti 1.5544 1.3506 0.7059
Ti 1.5544 1.3506 7.0333
Ti 1.5544 -1.3506 8.4451
Ti 1.5544 -1.3506 14.7726
Ti 1.5544 -4.0017 9.6945
Ti 1.5544 -4.0017 13.5232
N 0.0000 0.0000 0.0000
N 0.0000 0.0000 7.7392
N 1.5544 3.4285 3.8696
N 1.5544 2.3111 9.0489
N 1.5544 2.3111 14.1688
N 1.5544 0.3933 2.3969
N 1.5544 0.3933 5.3423
N 1.5544 -0.3933 10.1361
N 1.5544 -0.3933 13.0816
N 1.5544 -2.3111 1.3097
N 1.5544 -2.3111 6.4296
N 1.5544 -3.4285 11.6088
CELL_PARAMETERS angstrom
1.5544 -5.0103 0.0000
1.5544 5.0103 0.0000
0.0000 0.0000 15.4785
```

Computed properties:
Space group   No. 63
V   241 Å³ per cell
DOS at the Fermi energy   2.9 states/eV per cell
Energy   -9.6609 eV/atom

---

This record from Alexandria describes a geometry-optimized Th2TiN4 structure. The functional is PBE. Values from VASP.

```
&SYSTEM
  ibrav = 0, nat = 14, ntyp = 3
/
ATOMIC_SPECIES
Th 232.04 Th.upf
Ti 47.87 Ti.upf
N 14.01 N.upf
ATOMIC_POSITIONS angstrom
Th 0.9917 1.4846 0.1126
Th 0.2627 1.4846 3.5988
Th 3.2057 4.4539 2.8967
Th 2.4768 4.4539 6.3829
Ti -0.3600 4.4539 5.2398
Ti 3.8285 1.4846 1.2557
N -1.5941 3.0407 4.8193
N -1.5941 5.8671 4.8193
N 2.5498 4.4539 0.5729
N 1.3044 4.4539 4.2636
N 2.1641 1.4846 2.2319
N 0.9187 1.4846 5.9226
N 5.0626 0.0714 1.6762
N 5.0626 2.8979 1.6762
CELL_PARAMETERS angstrom
5.8695 0.0000 0.0000
0.0000 5.9386 0.0000
-2.4011 0.0000 6.4955
```

Computed properties:
Space group   No. 11
Offset from the most stable computed form   219 meV per atom
V   226 Å³ per cell
Energy   -9.3802 eV/atom

---

This record from Alexandria describes a geometry-optimized ThTiN3 structure. The functional is PBE. Values from VASP.

```
&SYSTEM
  ibrav = 0, nat = 10, ntyp = 3
/
ATOMIC_SPECIES
Th 232.04 Th.upf
Ti 47.87 Ti.upf
N 14.01 N.upf
ATOMIC_POSITIONS angstrom
Th 0.8874 1.7121 0.3934
Th 2.6501 5.1364 5.8374
Ti 0.8867 5.1364 2.4714
Ti 2.6509 1.7121 3.7593
N 0.8748 1.7121 2.9025
N 0.8878 3.9982 0.9012
N 0.8878 6.2747 0.9012
N 2.6498 0.5739 5.3295
N 2.6498 2.8504 5.3295
N 2.6628 5.1364 3.3283
CELL_PARAMETERS angstrom
3.5523 0.0000 0.0000
0.0000 6.8486 0.0000
-0.0147 0.0000 6.2307
```

Computed properties:
Space group   No. 11
V   152 Å³ per cell
DOS at the Fermi energy   2.5 states/eV per cell
Energy   -9.0412 eV/atom

---

This record from Alexandria describes a geometry-optimized Th2TiN4 structure. The functional is PBE. Values from VASP.

```
&SYSTEM
  ibrav = 0, nat = 14, ntyp = 3
/
ATOMIC_SPECIES
Th 232.04 Th.upf
Ti 47.87 Ti.upf
N 14.01 N.upf
ATOMIC_POSITIONS angstrom
Th 2.7836 4.4652 5.5997
Th 2.7836 1.7519 2.7612
Th 2.7836 -1.7519 2.9156
Th 2.7836 -4.4652 0.0772
Ti 0.0000 0.0000 2.8384
Ti 2.7836 0.0000 0.0000
N 2.7836 4.0404 3.2019
N 1.3918 0.2144 4.2576
N 1.3918 -0.2144 1.4192
N 2.7836 2.1767 0.3634
N 2.7836 -2.1767 5.3134
N 4.1754 0.2144 4.2576
N 4.1754 -0.2144 1.4192
N 2.7836 -4.0404 2.4750
CELL_PARAMETERS angstrom
2.7836 -6.2171 0.0000
2.7836 6.2171 0.0000
0.0000 0.0000 5.6769
```

Computed properties:
Space group   No. 64
Offset from the most stable computed form   0 meV per atom
V   196 Å³ per cell
DOS at the Fermi energy   0.4 states/eV per cell
Energy   -9.5988 eV/atom

---

V of number 6 (Th2TiN4)?
196 Å³ per cell